The following is a DFT calculation (PBE) of crystalline AgMo2Pb at its relaxed geometry.

Results
Symmetry = Pm, No. 6
Energy of formation = 1.8 eV per formula unit
Fermi-level density of states = 3.11 states/eV per cell
Magnetic moment = 0.000 μB/atom

Cell: 3.2824 3.2589 8.0871 Å, 65.38 90.00 90.00°
Positions (direct):
Pb 0.0000 0.5060 0.4887
Ag 0.5000 0.7332 0.7819
Mo 0.0000 0.9822 0.0308
Mo 0.5000 0.2785 0.1986